4
Lattice="3.501 0.000 0.000 1.750 3.032 0.000 1.750 1.011 11.112" Properties=species:S:1:pos:R:3 comment="Th2TlMo | Alexandria via LeMat-Bulk | GGA-PBE | optimized geometry" n_ef_per_ev_cell=5.5 energy_ev_per_atom=-6.59 delta_e_f_kj_per_mol_atoms=40.22 pbc="T T T"
Th 5.251 3.032 3.372
Th 1.750 1.011 7.740
Mo 3.501 2.021 5.556
Tl 0.000 0.000 0.000